A plane-wave DFT calculation with PBE was carried out for LiTePd3 after structural relaxation.

Summary:
E_tot	-4.5182	eV/atom
M_tot	0.00	μB per cell
energy relative to the lowest polymorph listed for this composition	0.000	eV/atom
V	86.77	Å³/f.u.
energy relative to the elements, uncorrected	-1.957	eV per formula unit
DOS at the Fermi energy	5.61	states/eV per cell

Cell lengths 4.1988, 6.4918, 6.4018 Å; angles 84.02, 90.00, 90.00 degrees
Element x y z (fractional)
Te: 0.4756 0.5570 0.2613
Te: 0.9756 0.7958 0.6402
Pd: 0.9756 0.3123 0.3896
Pd: 0.9756 0.5201 0.9736
Pd: 0.4756 0.0406 0.5120
Pd: 0.4756 0.8326 0.9279
Pd: 0.9756 0.1409 0.8135
Pd: 0.4756 0.2119 0.0882
Li: 0.9756 0.9485 0.1993
Li: 0.4756 0.4043 0.7021